Computed, not measured: Ho2ZnIn3Ni2 after structural relaxation at the GGA-PBE level of DFT.

Results
**Crystal system**: monoclinic
**Electronic total energy**: -4.144 eV/atom

Lattice parameters (Å, degrees): 10.014 4.258 7.445 90.00 90.35 90.00
Space group Cm (No. 8)
Unique sites:
Ho 0.000 0.000 0.000 x2
Ho 0.136 0.000 0.523 x2
Zn 0.421 0.000 0.712 x2
In 0.211 0.500 0.813 x2
In 0.214 0.500 0.215 x2
In 0.426 0.000 0.321 x2
Ni 0.291 0.000 0.008 x2
Ni 0.356 0.500 0.522 x2


Computed, not measured: HoZnInNi after structural relaxation at the GGA-PBE level of DFT.

Results
**Energy relative to the lowest polymorph listed for this composition**: 0.003 eV per atom
**Crystal system**: monoclinic

Lattice parameters (Å, degrees): 9.739 4.171 7.426 90.00 90.98 90.00
Space group C2/m (No. 12)
Unique sites:
Ho 0.068 0.000 0.278 x4
Zn 0.144 0.500 0.553 x4
In 0.144 0.500 0.943 x4
Ni 0.220 0.000 0.733 x4


Computed, not measured: HoZnInNi after structural relaxation at the GGA-PBE level of DFT.

Results
**Energy relative to the lowest polymorph listed for this composition**: 0.000 eV per atom
**Crystal system**: orthorhombic

Lattice parameters (Å, degrees): 4.222 9.677 7.362 90.00 90.00 90.00
Space group Cmc2_1 (No. 36)
Unique sites:
Ho 0.000 0.067 0.000 x4
Zn 0.000 0.351 0.200 x4
In 0.000 0.360 0.807 x4
Ni 0.000 0.219 0.503 x4


How do the records compare in M_tot? In the order shown, they have 0.0004; 0.0003; 0.0002 μB per atom.
How do the records compare in ρ? In the order shown, they have 9.0; 8.9; 8.9 g cm⁻³.